Here is an optimized crystal structure of Tb6PrSmEr2 from Alexandria via LeMat-Bulk. Energies are from PBE.

Structure (extended XYZ):
```
20
Lattice="9.163 -2.004 -2.080 0.804 8.536 -1.967 0.804 -2.282 8.457" Properties=species:S:1:pos:R:3 pbc="T T T"
Tb 6.711 -2.466 3.345
Tb 6.639 1.328 3.720
Tb 9.554 5.090 -1.614
Tb 2.129 4.436 -1.300
Tb 4.061 6.716 1.066
Tb 8.714 -0.420 1.906
Tb 2.058 4.670 2.505
Tb 8.642 -0.186 5.711
Tb 4.973 -0.799 6.067
Tb 5.798 5.050 -1.656
Tb 1.217 -0.840 6.025
Tb 4.132 2.922 0.691
Er 5.403 -0.104 0.991
Er 5.368 4.354 3.420
Er 9.950 2.254 3.438
Er 0.822 1.996 0.973
Pr 7.676 2.636 0.710
Pr 3.095 1.614 3.701
Sm 3.095 7.730 -2.193
Sm 7.676 -3.480 6.604
```

=====

Here is an optimized crystal structure of Tb3PrSm2Er6 from Alexandria via LeMat-Bulk. Energies are from PBE.

Structure (extended XYZ):
```
12
Lattice="6.168 0.001 0.010 -3.081 5.343 0.010 -1.044 -1.807 11.546" Properties=species:S:1:pos:R:3 pbc="T T T"
Er -1.030 1.779 2.921
Er -0.013 3.540 8.645
Er -0.012 -0.020 8.635
Er 2.056 -0.003 2.921
Er 2.054 3.557 2.931
Er 3.073 1.757 8.645
Pr 0.000 0.000 0.000
Sm 0.001 3.562 0.010
Sm 3.085 1.782 0.010
Tb 1.021 1.768 5.783
Tb 4.104 -0.012 5.783
Tb -2.061 3.549 5.783
```

=====

Here is an optimized crystal structure of TbPrSm2Er5 from Alexandria via LeMat-Bulk. Energies are from PBE.

Structure (extended XYZ):
```
18
Lattice="8.753 0.000 0.000 0.000 8.753 0.000 -4.376 -4.376 7.605" Properties=species:S:1:pos:R:3 pbc="T T T"
Er 2.552 -1.825 5.542
Er 1.825 2.552 5.542
Er 6.201 6.928 2.063
Er 1.825 6.201 2.063
Er -2.552 1.825 5.542
Er -1.825 -2.552 5.542
Er 4.376 4.376 0.000
Er 0.000 0.000 0.000
Er 6.928 2.552 2.063
Er 2.552 1.825 2.063
Sm 7.741 5.388 0.000
Sm 3.364 7.741 0.000
Sm 5.388 1.012 0.000
Sm 1.012 3.364 0.000
Tb 0.000 4.376 3.803
Tb 4.376 0.000 3.803
Pr 0.000 0.000 3.803
Pr 4.376 4.376 3.803
```

=====

Here is an optimized crystal structure of Tb2Pr3SmEr6 from Alexandria via LeMat-Bulk. Energies are from PBE.

Structure (extended XYZ):
```
12
Lattice="6.210 0.000 0.000 -3.103 5.379 0.000 -1.032 -1.788 11.581" Properties=species:S:1:pos:R:3 pbc="T T T"
Sm 0.000 0.000 0.000
Er 0.002 3.589 8.723
Er 0.003 0.005 8.723
Er 2.072 0.002 2.858
Er -1.034 1.796 2.858
Er 2.071 3.586 2.859
Er 3.108 1.795 8.723
Tb 3.106 1.793 0.000
Tb 0.001 3.586 0.000
Pr 4.140 0.003 5.791
Pr 1.037 1.796 5.791
Pr -2.066 3.588 5.791
```

=====

Here is an optimized crystal structure of TbPr2SmEr2 from Alexandria via LeMat-Bulk. Energies are from PBE.

Structure (extended XYZ):
```
12
Lattice="5.705 0.000 0.000 0.000 7.038 0.000 0.000 0.000 9.890" Properties=species:S:1:pos:R:3 pbc="T T T"
Er 0.000 5.335 1.642
Er 2.852 5.329 6.587
Er 0.000 1.816 8.248
Er 2.852 1.810 3.302
Pr 2.852 0.055 9.887
Pr 0.000 1.814 1.692
Pr 2.852 3.574 0.003
Pr 0.000 5.333 8.197
Sm 0.000 0.052 4.946
Sm 0.000 3.571 4.944
Tb 2.852 5.331 3.329
Tb 2.852 1.812 6.560
```

=====

Here is an optimized crystal structure of TbPrSmEr from Alexandria via LeMat-Bulk. Energies are from PBE.

Structure (extended XYZ):
```
4
Lattice="-4.176 -1.712 -3.535 1.259 -1.613 -5.355 -0.403 -5.519 -1.501" Properties=species:S:1:pos:R:3 pbc="T T T"
Sm -0.830 -2.211 -2.598
Er -1.660 -4.422 -5.196
Tb 0.000 0.000 0.000
Pr -2.490 -6.633 -7.794
```

=====

Here is an optimized crystal structure of Tb6PrSm2Er3 from Alexandria via LeMat-Bulk. Energies are from PBE.

Structure (extended XYZ):
```
12
Lattice="6.184 0.001 0.014 -3.090 5.357 0.014 -1.053 -1.823 11.641" Properties=species:S:1:pos:R:3 pbc="T T T"
Tb 2.059 3.564 2.980
Tb -0.017 -0.029 8.689
Tb -0.020 3.540 8.704
Tb 2.061 -0.005 2.966
Tb 3.076 1.752 8.704
Tb -1.034 1.783 2.966
Sm 3.093 1.787 0.014
Sm 0.002 3.572 0.014
Pr 0.000 0.000 0.000
Er 4.111 -0.017 5.835
Er -2.069 3.552 5.835
Er 1.021 1.768 5.835
```

=====

Here is an optimized crystal structure of TbPr2Sm4Er from Alexandria via LeMat-Bulk. Energies are from PBE.

Structure (extended XYZ):
```
8
Lattice="5.134 0.000 0.000 0.000 5.037 0.928 0.000 3.197 11.011" Properties=species:S:1:pos:R:3 pbc="T T T"
Er 0.000 4.117 5.970
Pr 0.000 3.197 11.011
Pr 2.567 1.598 5.505
Sm 5.134 2.054 2.998
Sm 2.567 4.576 3.452
Sm 0.000 6.180 8.941
Sm 2.567 3.658 8.487
Tb 2.567 5.716 11.475
```

=====

Here is an optimized crystal structure of Tb4Pr2Sm2Er from Alexandria via LeMat-Bulk. Energies are from PBE.

Structure (extended XYZ):
```
9
Lattice="-0.390 -3.383 -1.275 6.133 3.668 -6.420 4.068 -3.500 8.041" Properties=species:S:1:pos:R:3 pbc="T T T"
Pr 5.830 -4.540 5.076
Pr 3.981 1.325 -4.731
Sm 4.441 -1.738 3.254
Sm 5.370 -1.477 -2.908
Er 0.000 0.000 0.000
Tb 3.560 -0.442 0.085
Tb 6.251 -2.773 0.260
Tb 8.429 -0.437 -1.417
Tb 1.382 -2.778 1.763
```

=====

Here is an optimized crystal structure of Tb3Pr2Sm6Er from Alexandria via LeMat-Bulk. Energies are from PBE.

Structure (extended XYZ):
```
12
Lattice="-1.919 -5.070 3.133 -1.647 0.785 -5.990 10.894 -4.363 -2.476" Properties=species:S:1:pos:R:3 pbc="T T T"
Sm 5.424 -7.446 -2.479
Sm 7.255 -4.321 -2.557
Sm 1.814 -3.144 0.174
Sm 1.904 -1.202 -2.853
Sm 5.515 -5.503 -5.506
Sm 0.074 -4.327 -2.775
Tb 3.755 -2.370 -5.710
Tb 3.574 -6.278 0.378
Tb 3.664 -4.324 -2.666
Er 0.000 0.000 0.000
Pr -1.737 -1.167 -2.948
Pr -1.828 -3.117 0.092
```

=====

Here is an optimized crystal structure of TbPrSmEr2 from Alexandria via LeMat-Bulk. Energies are from PBE.

Structure (extended XYZ):
```
10
Lattice="-4.515 4.075 3.824 -4.849 -6.729 1.445 5.443 2.217 4.063" Properties=species:S:1:pos:R:3 pbc="T T T"
Er -3.773 -0.065 2.364
Er -1.515 -2.103 0.452
Er -3.333 -4.626 0.994
Er -5.591 -2.588 2.906
Pr -4.423 -0.835 5.792
Pr 0.501 0.399 3.541
Sm -0.545 -3.488 6.449
Sm -3.376 3.053 2.884
Tb -2.221 -2.852 3.791
Tb -1.701 2.416 5.541
```

=====

Here is an optimized crystal structure of Tb2Pr2SmEr2 from Alexandria via LeMat-Bulk. Energies are from PBE.

Structure (extended XYZ):
```
7
Lattice="3.539 0.000 0.000 -1.770 5.622 1.758 0.000 0.401 11.920" Properties=species:S:1:pos:R:3 pbc="T T T"
Sm 0.000 0.201 5.960
Tb 1.770 0.655 2.931
Tb 0.000 5.368 10.747
Er 0.000 2.793 8.367
Er 1.770 3.230 5.311
Pr 1.770 2.280 11.515
Pr 0.000 3.743 2.163
```

=====

Here is an optimized crystal structure of Tb2PrSm6Er3 from Alexandria via LeMat-Bulk. Energies are from PBE.

Structure (extended XYZ):
```
12
Lattice="6.228 0.000 0.012 -3.113 5.395 0.012 -1.058 -1.832 11.686" Properties=species:S:1:pos:R:3 pbc="T T T"
Sm -1.044 1.796 2.964
Sm -0.013 -0.022 8.735
Sm 3.102 1.767 8.746
Sm 2.077 -0.007 2.964
Sm 2.071 3.586 2.975
Sm -0.020 3.570 8.746
Tb 3.114 1.799 0.012
Tb 0.002 3.596 0.012
Er -2.082 3.578 5.855
Er 4.140 -0.015 5.855
Er 1.029 1.782 5.855
Pr 0.000 0.000 0.000
```

=====

Here is an optimized crystal structure of TbPr2SmEr4 from Alexandria via LeMat-Bulk. Energies are from PBE.

Structure (extended XYZ):
```
8
Lattice="5.107 0.000 0.000 0.000 4.961 1.090 0.000 2.817 10.854" Properties=species:S:1:pos:R:3 pbc="T T T"
Er 5.107 1.940 2.997
Er 0.000 5.838 8.948
Er 2.554 3.356 8.406
Er 2.554 4.423 3.539
Tb 0.000 3.889 5.972
Sm 2.554 5.298 11.400
Pr 0.000 2.817 10.854
Pr 2.554 1.409 5.427
```

=====

Here is an optimized crystal structure of Tb2PrSmEr5 from Alexandria via LeMat-Bulk. Energies are from PBE.

Structure (extended XYZ):
```
18
Lattice="8.827 0.000 0.000 0.000 8.827 0.000 -4.413 -4.413 7.457" Properties=species:S:1:pos:R:3 pbc="T T T"
Tb 5.424 1.010 0.000
Tb 1.010 3.403 0.000
Tb 7.817 5.424 0.000
Tb 3.403 7.817 0.000
Er -2.600 1.814 5.476
Er 0.000 0.000 0.000
Er 2.600 -1.814 5.476
Er -1.814 -2.600 5.476
Er 6.227 7.013 1.982
Er 1.814 6.227 1.982
Er 7.013 2.600 1.982
Er 2.600 1.814 1.982
Er 1.814 2.600 5.476
Er 4.413 4.413 0.000
Pr 0.000 0.000 3.729
Pr 4.413 4.413 3.729
Sm 0.000 4.413 3.729
Sm 4.413 0.000 3.729
```

=====

Here is an optimized crystal structure of Tb2PrSmEr from Alexandria via LeMat-Bulk. Energies are from PBE.

Structure (extended XYZ):
```
10
Lattice="7.191 0.000 0.000 0.000 8.443 0.000 0.000 -4.221 5.796" Properties=species:S:1:pos:R:3 pbc="T T T"
Tb 3.596 2.634 0.000
Tb 3.596 5.808 0.000
Tb 0.000 2.634 0.000
Tb 0.000 5.808 0.000
Er 1.798 0.000 3.208
Er 5.393 4.221 2.589
Pr 1.798 4.221 2.656
Pr 5.393 0.000 3.140
Sm 1.798 4.221 5.761
Sm 5.393 0.000 0.035
```

=====

Here is an optimized crystal structure of Tb6PrSm3Er2 from Alexandria via LeMat-Bulk. Energies are from PBE.

Structure (extended XYZ):
```
12
Lattice="-6.179 -0.380 0.318 3.423 -0.883 5.092 0.335 11.853 0.577" Properties=species:S:1:pos:R:3 pbc="T T T"
Sm 1.987 5.128 4.584
Sm -1.211 5.295 2.994
Sm -4.408 5.463 1.404
Tb -2.213 2.717 0.703
Tb -1.982 2.003 4.197
Tb -0.440 8.588 1.791
Tb 0.997 2.549 2.299
Tb -3.419 8.042 3.689
Tb -0.208 7.873 5.285
Pr 0.000 0.000 0.000
Er -2.980 -0.547 1.909
Er 0.224 -0.715 3.502
```

=====

Here is an optimized crystal structure of TbPr2SmEr5 from Alexandria via LeMat-Bulk. Energies are from PBE.

Structure (extended XYZ):
```
18
Lattice="8.617 0.000 0.000 0.000 8.617 0.000 -4.309 -4.309 7.846" Properties=species:S:1:pos:R:3 pbc="T T T"
Er 4.309 4.309 0.000
Er 0.000 0.000 0.000
Er -2.487 1.822 5.645
Er 1.822 2.487 5.645
Er 6.130 6.796 2.201
Er 2.487 -1.822 5.645
Er 2.487 1.822 2.201
Er 1.822 6.130 2.201
Er 6.796 2.487 2.201
Er -1.822 -2.487 5.645
Tb 0.000 0.000 3.923
Tb 4.309 4.309 3.923
Pr 3.287 7.596 0.000
Pr 5.330 1.022 0.000
Pr 7.596 5.330 0.000
Pr 1.022 3.287 0.000
Sm 0.000 4.309 3.923
Sm 4.309 0.000 3.923
```

=====

Here is an optimized crystal structure of TbPr2SmEr from Alexandria via LeMat-Bulk. Energies are from PBE.

Structure (extended XYZ):
```
10
Lattice="-0.717 -0.992 6.562 0.298 -7.970 -1.173 6.361 0.133 0.715" Properties=species:S:1:pos:R:3 pbc="T T T"
Pr 4.351 -2.987 4.837
Pr 1.471 -2.639 1.739
Pr 1.590 -5.843 1.268
Pr 4.471 -6.191 4.365
Sm 4.472 -0.313 3.267
Sm 1.171 -0.546 4.010
Er 2.463 -0.926 6.919
Er -0.419 -8.963 5.389
Tb 4.789 -4.066 1.142
Tb 1.152 -4.764 4.962
```

=====

Here is an optimized crystal structure of Tb2Pr3Sm6Er from Alexandria via LeMat-Bulk. Energies are from PBE.

Structure (extended XYZ):
```
12
Lattice="-2.145 -4.002 4.352 -2.524 0.031 -5.760 9.485 -6.747 -3.046" Properties=species:S:1:pos:R:3 pbc="T T T"
Sm 5.987 -6.088 -2.652
Sm 1.103 -1.969 -2.780
Sm -1.170 -4.629 -1.802
Sm 3.588 -7.406 -5.041
Sm 3.714 -8.748 -1.674
Sm 1.229 -3.312 0.587
Tb -2.397 -1.313 -2.389
Tb -2.271 -2.657 0.980
Pr 2.282 -4.014 -5.599
Pr 2.408 -5.359 -2.227
Pr 2.535 -6.703 1.144
Er 0.000 0.000 0.000
```

=====

no.,ΔE_f (meV/atom)
1,123
2,18
3,266
4,18
5,70
6,119
7,18
8,17
9,5
10,15
11,373
12,85
13,16
14,22
15,274
16,389
17,15
18,261
19,239
20,17